Entry 1:
The following is a DFT calculation (meta-GGA SCAN) of CoReAs2Se at its PBEsol-relaxed geometry.

Cell and atoms, written as extended XYZ:
```
5
Lattice="4.7327 0.0000 0.0000 0.0000 4.7327 0.0000 0.0000 0.0000 4.8760" Properties=species:S:1:pos:R:3 pbc="T T T"
Re 0.0000 0.0000 0.0000
As 2.3663 0.0000 0.0000
As 0.0000 2.3663 0.0000
Se 0.0000 0.0000 2.4380
Co 2.3663 2.3663 2.4380
```

As for the energy: -28.74 eV per atom.

=====

Entry 2:
The following is a DFT calculation (meta-GGA SCAN) of ScHgPb2 at its PBEsol-relaxed geometry.

Cell and atoms, written as extended XYZ:
```
4
Lattice="3.4415 0.0000 0.0000 0.0000 5.3091 -0.0977 -1.7208 -2.0107 5.3843" Properties=species:S:1:pos:R:3 pbc="T T T"
Sc 1.7208 2.3153 0.1104
Pb 1.7208 3.0438 5.1758
Pb 1.7208 0.6220 2.8214
Hg 0.0000 3.2704 2.4168
```

The value obtained for the energy of formation is -0.2752 eV per atom.

=====

Entry 3:
The following is a DFT calculation (meta-GGA SCAN) of Cd2AgPb at its PBEsol-relaxed geometry.

Cell and atoms, written as extended XYZ:
```
4
Lattice="3.2778 0.0000 0.0000 0.0000 3.2778 0.0000 0.0000 0.0000 8.1580" Properties=species:S:1:pos:R:3 pbc="T T T"
Cd 0.0000 0.0000 8.0249
Cd 1.6389 1.6389 1.8063
Ag 1.6389 1.6389 6.3273
Pb 0.0000 0.0000 4.2365
```

The value obtained for the energy of formation is 0.0628 eV per atom.

=====

Entry 4:
The following is a DFT calculation (meta-GGA SCAN) of TaBe2Hg at its PBEsol-relaxed geometry.

Cell and atoms, written as extended XYZ:
```
4
Lattice="-3.1169 0.1142 -1.8565 -1.4708 -2.3689 2.3236 0.9588 4.3493 2.2061" Properties=species:S:1:pos:R:3 pbc="T T T"
Be -2.2260 1.6681 0.2916
Be 0.0000 0.0000 0.0000
Hg -2.2939 -1.1274 0.2336
Ta -1.4029 0.4265 2.3817
```

The value obtained for the energy of formation is 0.4294 eV per atom.

=====

Entry 5:
The following is a DFT calculation (meta-GGA SCAN) of YAg3 at its PBEsol-relaxed geometry.

Cell and atoms, written as extended XYZ:
```
4
Lattice="5.6313 0.0000 0.0000 0.0000 5.6313 0.0000 0.0000 0.0000 5.6313" Properties=species:S:1:pos:R:3 pbc="T T T"
Ag 0.0000 2.8157 0.0000
Ag 2.8157 0.0000 0.0000
Ag 0.0000 0.0000 2.8157
Y 0.0000 0.0000 0.0000
```

The value obtained for the energy of formation is 1.2165 eV per atom.

=====

Entry 6:
The following is a DFT calculation (meta-GGA SCAN) of AlCd2BN at its PBEsol-relaxed geometry.

Cell and atoms, written as extended XYZ:
```
5
Lattice="3.9369 0.0000 0.0000 0.0000 5.1676 0.0000 0.0000 0.0000 5.1676" Properties=species:S:1:pos:R:3 pbc="T T T"
N 1.9684 2.5838 2.5838
Al 0.0000 0.0000 0.0000
Cd 0.0000 0.0000 2.5838
Cd 0.0000 2.5838 0.0000
B 1.9684 0.0000 0.0000
```

As for the energy: -15.46 eV per atom.

=====

| no. | D(E_F) (states/eV per atom) | magnetization (μB/f.u.) |
| --- | --- | --- |
| 1 | 0.8622 | 2.0 |
| 2 | 0.5720 | 0.0 |
| 3 | 0.4262 | 0.0 |
| 4 | 0.8236 | 0.0 |
| 5 | 0.1991 | 0.0 |
| 6 | 0.4135 | 2.2 |